ZnCrIO2 PBE+U optimized geometry; D(E_F) = 4.30 states/eV/f.u.; polymorph energy (0 for the lowest one) = 486 meV per atom
1.0
-2.4107 -0.1389 3.0824
3.0219 -0.8963 2.3230
0.9805 5.9935 1.0370
O Zn I Cr
2 1 1 1
Direct
0.0000 0.5000 0.0000
0.5000 0.0000 0.0000
0.0000 0.0000 0.0000
0.0000 0.0000 0.5000
0.5000 0.5000 0.5000